1.
A plane-wave DFT calculation with GGA-PBEsol was carried out for a relaxed ErInO3 crystal.

D(E_F) (states/eV per cell): 0.0
Space group: Pnma, No. 62
Formation energy without anion corrections (eV/atom): -2.589

The structure in extended XYZ format:
```
20
Lattice="5.420 0.000 0.000 0.000 5.756 0.000 0.000 0.000 8.097" Properties=species:S:1:pos:R:3 pbc="T T T"
O 4.603 3.304 6.073
Er 2.574 2.494 6.073
O 1.698 3.974 4.686
Er 0.136 5.372 6.073
O 0.817 2.452 2.024
In 0.000 2.878 4.049
O 1.012 1.096 4.686
In 0.000 2.878 0.000
Er 2.846 3.262 2.024
O 3.722 1.781 3.412
In 2.710 0.000 4.049
O 4.408 4.659 0.637
O 3.722 1.781 0.637
O 1.698 3.974 7.460
O 4.408 4.659 3.412
Er 5.284 0.384 2.024
O 1.893 5.330 2.024
O 1.012 1.096 7.460
In 2.710 0.000 0.000
O 3.527 0.426 6.073
```

=====

2.
A plane-wave DFT calculation with GGA-PBEsol was carried out for a relaxed ErInPd crystal.

D(E_F) (states/eV per cell): 6.1
Space group: P-62m, No. 189

The structure in extended XYZ format:
```
9
Lattice="3.804 0.000 0.000 0.000 7.506 0.000 0.000 -3.753 6.501" Properties=species:S:1:pos:R:3 pbc="T T T"
Er 1.902 -1.533 2.655
In 0.000 0.974 1.687
In 0.000 5.559 0.000
Pd 0.000 0.000 4.334
Pd 1.902 0.000 0.000
In 0.000 -2.779 4.814
Er 1.902 2.220 3.846
Er 1.902 3.065 0.000
Pd 0.000 3.753 2.167
```

=====

3.
A plane-wave DFT calculation with GGA-PBEsol was carried out for a relaxed ErInPt2 crystal.

D(E_F) (states/eV per cell): 1.7
Space group: Fm-3m, No. 225

The structure in extended XYZ format:
```
4
Lattice="-4.708 -0.076 0.064 -2.380 -1.627 -3.724 -2.285 -4.108 0.277" Properties=species:S:1:pos:R:3 pbc="T T T"
In 0.000 0.000 0.000
Pt -7.030 -4.358 -2.536
Pt -2.343 -1.453 -0.845
Er -4.686 -2.905 -1.691
```

=====

4.
A plane-wave DFT calculation with GGA-PBEsol was carried out for a relaxed ErInRh2 crystal.

D(E_F) (states/eV per cell): 0.9
Space group: Fm-3m, No. 225

The structure in extended XYZ format:
```
4
Lattice="-3.030 1.089 -3.279 -4.420 -1.162 0.478 -3.159 3.246 0.776" Properties=species:S:1:pos:R:3 pbc="T T T"
In -5.304 1.587 -1.012
Rh -2.652 0.793 -0.506
Er 0.000 0.000 0.000
Rh -7.957 2.380 -1.519
```

=====

5.
A plane-wave DFT calculation with GGA-PBEsol was carried out for a relaxed ErInRh crystal.

D(E_F) (states/eV per cell): 5.9
Space group: P-62m, No. 189

The structure in extended XYZ format:
```
9
Lattice="-0.763 -3.204 1.985 4.885 2.015 5.128 -7.043 2.058 0.615" Properties=species:S:1:pos:R:3 pbc="T T T"
Rh -3.067 2.043 2.119
Rh -0.381 -1.602 0.993
Er -4.566 -0.379 1.358
In 1.262 0.520 1.324
Er -1.257 0.051 3.323
Rh 0.909 2.029 3.623
Er 2.521 -0.405 4.039
In -1.600 3.021 4.259
In -1.819 0.531 0.159
```

=====

6.
A plane-wave DFT calculation with GGA-PBEsol was carried out for a relaxed Er4InRh crystal.

D(E_F) (states/eV per cell): 13.1
Space group: F-43m, No. 216

The structure in extended XYZ format:
```
24
Lattice="9.399 0.000 0.000 4.700 8.140 0.000 4.700 2.713 7.674" Properties=species:S:1:pos:R:3 pbc="T T T"
Rh 2.679 1.547 1.094
Er 6.578 3.798 2.685
Er 12.318 3.742 6.220
Er 12.318 7.112 1.454
Er 9.399 8.797 6.220
Er 14.099 10.184 7.201
Er 9.399 8.684 2.685
In 10.957 6.326 4.473
Rh 4.700 5.047 1.094
Er 12.329 7.118 7.201
Er 6.481 7.112 1.454
Er 15.869 7.118 7.201
Er 12.329 9.162 4.310
Rh 4.700 2.713 4.394
Er 6.481 3.742 6.220
Er 9.399 2.057 1.454
Er 15.869 9.162 4.310
In 7.841 6.326 4.473
Er 9.399 5.427 7.293
Rh 6.720 1.547 1.094
Er 14.099 6.096 4.310
In 9.399 3.628 4.473
Er 12.221 3.798 2.685
In 9.399 5.427 1.929
```

=====

7.
A plane-wave DFT calculation with GGA-PBEsol was carried out for a relaxed Er3In3Ru2 crystal.

D(E_F) (states/eV per cell): 4.3
Space group: C2/m, No. 12

The structure in extended XYZ format:
```
8
Lattice="4.655 0.000 0.000 0.000 5.009 0.007 -2.328 -1.409 7.613" Properties=species:S:1:pos:R:3 pbc="T T T"
In 0.000 3.545 5.648
In 2.328 2.504 0.004
In 2.328 0.055 1.972
Er 0.000 2.436 2.549
Ru 0.000 -0.115 3.261
Er 0.000 0.000 0.000
Er 2.328 1.164 5.071
Ru 2.328 3.715 4.359
```

=====

8.
A plane-wave DFT calculation with GGA-PBEsol was carried out for a relaxed TbErIn2 crystal.

D(E_F) (states/eV per cell): 2.0
Space group: Fm-3m, No. 225

The structure in extended XYZ format:
```
4
Lattice="5.210 0.000 0.000 2.605 4.512 0.000 2.605 1.504 4.254" Properties=species:S:1:pos:R:3 pbc="T T T"
In 2.605 1.504 1.063
Er 5.210 3.008 2.127
In 7.814 4.512 3.190
Tb 0.000 0.000 0.000
```

=====

We obtain total energy values of -7.3206, -5.4715, -6.3867, -6.8297, -6.1099, -5.7152, -5.8743, -4.4865 eV per atom for the records listed above, in that order.